[1]
Density functional theory data (GGA-PBE) for a geometry-optimized PrAlSi2Pd structure.

Values from the calculation:
- Spin magnetization: 0.0 μB per formula unit
- E: -28.251 eV/cell

Cell: 6.091 6.091 6.091 Å, 140.52 140.52 57.06°
Sites, in units of the cell vectors:
Pr: 0.000 0.000 0.000
Al: 0.250 0.750 0.500
Si: 0.388 0.388 0.000
Si: 0.612 0.612 0.000
Pd: 0.750 0.250 0.500

[2]
Density functional theory data (GGA-PBE) for a geometry-optimized Pr3AlSi2Pd9 structure.

Values from the calculation:
- Spin magnetization: 0.0 μB per formula unit
- E: -85.632 eV/cell

Cell: 6.365 6.365 8.838 Å, 90.00 90.00 120.00°
Sites, in units of the cell vectors:
Pr: 0.000 0.000 0.000
Pr: 0.333 0.667 0.667
Pr: 0.667 0.333 0.333
Al: 0.000 0.000 0.500
Si: 0.333 0.667 0.176
Si: 0.667 0.333 0.824
Pd: 0.000 0.500 0.000
Pd: 0.146 0.293 0.288
Pd: 0.146 0.854 0.288
Pd: 0.293 0.146 0.712
Pd: 0.500 0.000 0.000
Pd: 0.500 0.500 0.000
Pd: 0.707 0.854 0.288
Pd: 0.854 0.146 0.712
Pd: 0.854 0.707 0.712

[3]
Density functional theory data (GGA-PBE) for a geometry-optimized Pr2AlSiPd6 structure.

Values from the calculation:
- Spin magnetization: 0.0 μB per formula unit
- E: -56.928 eV/cell

Cell: 6.426 6.436 6.461 Å, 65.07 65.07 61.57°
Sites, in units of the cell vectors:
Pr: 0.233 0.233 0.317
Pr: 0.767 0.767 0.683
Al: 0.500 0.500 0.500
Si: 0.000 0.000 0.000
Pd: 0.231 0.656 0.847
Pd: 0.243 0.245 0.798
Pd: 0.342 0.771 0.154
Pd: 0.658 0.229 0.846
Pd: 0.757 0.755 0.202
Pd: 0.769 0.344 0.153

[4]
Density functional theory data (GGA-PBE) for a geometry-optimized Pr3AlSi6Pd2 structure.

Values from the calculation:
- Spin magnetization: 0.0 μB per formula unit
- E: -65.785 eV/cell

Cell: 5.869 5.869 8.271 Å, 90.00 90.00 120.00°
Sites, in units of the cell vectors:
Pr: 0.000 0.000 0.000
Pr: 0.333 0.667 0.626
Pr: 0.667 0.333 0.374
Al: 0.000 0.000 0.500
Si: 0.195 0.390 0.284
Si: 0.195 0.805 0.284
Si: 0.390 0.195 0.716
Si: 0.610 0.805 0.284
Si: 0.805 0.195 0.716
Si: 0.805 0.610 0.716
Pd: 0.333 0.667 0.035
Pd: 0.667 0.333 0.965

[5]
Density functional theory data (GGA-PBE) for a geometry-optimized PrAl2SiPd2 structure.

Values from the calculation:
- Spin magnetization: 0.0 μB per formula unit
- E: -31.412 eV/cell

Cell: 4.585 4.585 5.672 Å, 90.00 90.00 90.00°
Sites, in units of the cell vectors:
Pr: 0.000 0.000 0.000
Al: 0.500 0.500 0.236
Al: 0.500 0.500 0.764
Si: 0.000 0.000 0.500
Pd: 0.000 0.500 0.500
Pd: 0.500 0.000 0.500

[6]
Density functional theory data (GGA-PBE) for a geometry-optimized PrAl2SiPd structure.

Values from the calculation:
- Spin magnetization: 0.0 μB per formula unit
- E: -26.588 eV/cell

Cell: 6.233 6.233 6.233 Å, 141.82 140.43 56.15°
Sites, in units of the cell vectors:
Pr: 0.000 0.000 0.000
Al: 0.383 0.383 0.000
Al: 0.745 0.245 0.500
Si: 0.609 0.609 0.000
Pd: 0.242 0.742 0.500

[7]
Density functional theory data (GGA-PBE) for a geometry-optimized PrAl2SiPd4 structure.

Values from the calculation:
- Spin magnetization: 0.0 μB per formula unit
- E: -44.519 eV/cell

Cell: 9.182 9.182 9.182 Å, 27.07 27.07 27.07°
Sites, in units of the cell vectors:
Pr: 0.000 0.000 0.000
Al: 0.241 0.241 0.241
Al: 0.759 0.759 0.759
Si: 0.500 0.500 0.500
Pd: 0.138 0.138 0.138
Pd: 0.408 0.408 0.408
Pd: 0.592 0.592 0.592
Pd: 0.862 0.862 0.862

[8]
Density functional theory data (GGA-PBE) for a geometry-optimized Pr2Al3SiPd4 structure.

Values from the calculation:
- Spin magnetization: 0.0 μB per formula unit
- E: -55.552 eV/cell

Cell: 4.351 4.351 10.162 Å, 90.00 90.00 90.00°
Sites, in units of the cell vectors:
Pr: 0.000 0.500 0.244
Pr: 0.500 0.000 0.756
Al: 0.000 0.000 0.000
Al: 0.000 0.500 0.627
Al: 0.500 0.000 0.373
Si: 0.500 0.500 0.000
Pd: 0.000 0.000 0.500
Pd: 0.000 0.500 0.876
Pd: 0.500 0.000 0.124
Pd: 0.500 0.500 0.500

[9]
Density functional theory data (GGA-PBE) for a geometry-optimized PrSmAl2Pd5 structure.

Values from the calculation:
- Energy of formation from the pure elements: -0.79 eV per atom
- Spin magnetization: 0.0 μB per formula unit

Cell: 4.324 4.324 9.239 Å, 90.00 90.00 90.00°
Sites, in units of the cell vectors:
Pr: 0.000 0.000 0.000
Sm: 0.000 0.000 0.500
Al: 0.500 0.500 0.357
Al: 0.500 0.500 0.643
Pd: 0.000 0.500 0.228
Pd: 0.000 0.500 0.772
Pd: 0.500 0.000 0.228
Pd: 0.500 0.000 0.772
Pd: 0.500 0.500 0.000

[10]
Density functional theory data (GGA-PBE) for a geometry-optimized Pr2Al4SnPd3 structure.

Values from the calculation:
- Energy of formation from the pure elements: -0.76 eV per atom
- Spin magnetization: 0.0 μB per formula unit

Cell: 4.370 4.370 10.720 Å, 90.00 90.00 90.00°
Sites, in units of the cell vectors:
Pr: 0.000 0.500 0.241
Pr: 0.500 0.000 0.759
Al: 0.000 0.000 0.000
Al: 0.000 0.500 0.651
Al: 0.500 0.000 0.349
Al: 0.500 0.500 0.000
Sn: 0.000 0.000 0.500
Pd: 0.000 0.500 0.879
Pd: 0.500 0.000 0.121
Pd: 0.500 0.500 0.500

[11]
Density functional theory data (GGA-PBE) for a geometry-optimized PrAlSn2Pd4 structure.

Values from the calculation:
- Energy of formation from the pure elements: -0.73 eV per atom
- Spin magnetization: 0.0 μB per formula unit

Cell: 9.091 9.091 9.091 Å, 28.99 28.99 28.99°
Sites, in units of the cell vectors:
Pr: 0.000 0.000 0.000
Al: 0.500 0.500 0.500
Sn: 0.247 0.247 0.247
Sn: 0.753 0.753 0.753
Pd: 0.139 0.139 0.139
Pd: 0.404 0.404 0.404
Pd: 0.596 0.596 0.596
Pd: 0.861 0.861 0.861

[12]
Density functional theory data (GGA-PBE) for a geometry-optimized Pr2Al2SnPd5 structure.

Values from the calculation:
- Energy of formation from the pure elements: -0.72 eV per atom
- Spin magnetization: 0.0 μB per formula unit

Cell: 10.462 10.462 3.567 Å, 90.00 90.00 90.00°
Sites, in units of the cell vectors:
Pr: 0.182 0.318 0.000
Pr: 0.318 0.818 0.000
Pr: 0.682 0.182 0.000
Pr: 0.818 0.682 0.000
Al: 0.117 0.617 0.000
Al: 0.383 0.117 0.000
Al: 0.617 0.883 0.000
Al: 0.883 0.383 0.000
Sn: 0.000 0.000 0.000
Sn: 0.500 0.500 0.000
Pd: 0.000 0.500 0.500
Pd: 0.053 0.786 0.500
Pd: 0.214 0.053 0.500
Pd: 0.286 0.553 0.500
Pd: 0.447 0.286 0.500
Pd: 0.500 0.000 0.500
Pd: 0.553 0.714 0.500
Pd: 0.714 0.447 0.500
Pd: 0.786 0.947 0.500
Pd: 0.947 0.214 0.500

The records above yield density of states at the Fermi level values of 1.95, 5.65, 3.95, 4.36, 3.10, 1.16, 4.07, 6.36, 6.88, 8.36, 4.05, 13.08 states/eV/cell, respectively.